(1)
This record from the Alexandria database describes a relaxed CaRh2Br crystal. The functional is PBE.

Results
Symmetry: Pm (6)

a = 3.444 Å, b = 3.434 Å, c = 7.523 Å
α = 76.75°, β = 90.00°, γ = 90.00°
Each line ends with the local moment (μB).
Fractional positions:
Ca (0.500, 0.681, 0.765)  -0.01
Rh (0.000, 0.039, 0.044)  0.41
Rh (0.500, 0.481, 0.160)  0.41
Br (0.000, 0.298, 0.531)  0.00

---

(2)
This record from the Alexandria database describes a relaxed TaBAu3 crystal. The functional is PBE.

Results
Symmetry: Pm-3m (221)

a = 5.152 Å, b = 5.152 Å, c = 5.152 Å
α = 90.00°, β = 90.00°, γ = 90.00°
Fractional positions:
B (0.500, 0.500, 0.500)
Au (0.000, 0.500, 0.000)
Au (0.000, 0.000, 0.500)
Au (0.500, 0.000, 0.000)
Ta (0.000, 0.000, 0.000)

---

| no. | energy (Ha/atom) |
| --- | --- |
| 1 | -0.180 |
| 2 | -0.141 |